Below is NaInMoO5 after structural relaxation, with properties calculated at the GGA+U level.

Values from the calculation:
size of the total moment = 0.0000 μB/atom
density of states at the Fermi level = 0.000 states/eV per atom
final energy = -48.95 eV/f.u.

Structure (POSCAR):
```
NaInMoO5
1.0
-4.5087 -1.2958 -3.9293
5.2556 -0.2382 -3.1254
0.3271 -6.1591 4.1304
O Na In Mo
10 2 2 2
Direct
0.3321 0.9028 0.6280 O
0.6060 0.7460 0.9251 O
0.6679 0.0972 0.3720 O
0.7460 0.6060 0.4251 O
0.3940 0.2540 0.0749 O
0.9197 0.0803 0.7500 O
0.0972 0.6679 0.8720 O
0.2540 0.3940 0.5749 O
0.0803 0.9197 0.2500 O
0.9028 0.3321 0.1280 O
0.3097 0.6903 0.2500 Na
0.6903 0.3097 0.7500 Na
0.0000 0.0000 0.5000 In
0.0000 0.0000 0.0000 In
0.3232 0.6768 0.7500 Mo
0.6768 0.3232 0.2500 Mo
```